Entry 1:
DFT (PBE) results for PmSm2HoTm5 after structural relaxation.

SG ... I4/mcm, No. 140
Calculated formation energy ... 0.273 eV per atom
Theoretical density ... 8.4 g cm⁻³

Unit cell a=8.692 b=8.692 c=9.753 alpha=116.46 beta=116.46 gamma=90.00
Sites, in units of the cell vectors:
Pm 0.250 0.250 0.500
Pm 0.750 0.750 0.500
Sm 0.116 0.384 0.000
Sm 0.616 0.116 0.000
Sm 0.384 0.884 0.000
Sm 0.884 0.616 0.000
Ho 0.250 0.750 0.500
Ho 0.750 0.250 0.500
Tm 0.927 0.427 0.273
Tm 0.654 0.154 0.727
Tm 0.073 0.573 0.727
Tm 0.154 0.073 0.727
Tm 0.573 0.654 0.727
Tm 0.846 0.927 0.273
Tm 0.427 0.346 0.273
Tm 0.346 0.846 0.273
Tm 0.500 0.500 0.000
Tm 0.000 0.000 0.000

---

Entry 2:
DFT (PBE) results for Pm2Sm6HoTm3 after structural relaxation.

SG ... C2/m, No. 12
Calculated formation energy ... 0.017 eV per atom
Theoretical density ... 7.9 g cm⁻³

Unit cell a=6.221 b=6.221 c=11.846 alpha=95.01 beta=95.01 gamma=119.99
Sites, in units of the cell vectors:
Pm 0.333 0.667 0.000
Pm 0.667 0.333 0.000
Sm 0.915 0.583 0.746
Sm 0.752 0.752 0.254
Sm 0.085 0.417 0.254
Sm 0.583 0.915 0.746
Sm 0.248 0.248 0.746
Sm 0.417 0.085 0.254
Ho 0.000 0.000 0.000
Tm 0.166 0.834 0.500
Tm 0.834 0.166 0.500
Tm 0.500 0.500 0.500